1.
# ScBe2Ag, relaxed, DFT PBE
data_ScBe2Ag
_chemical_formula_sum 'Sc4 Be8 Ag4'
_space_group_name_H-M_alt 'F -4 3 m'
_space_group_IT_number 216
_space_group_name_Hall 'F -4 2 3'
_cell_length_a 6.124
_cell_length_b 6.124
_cell_length_c 6.124
_cell_angle_alpha 90.00
_cell_angle_beta 90.00
_cell_angle_gamma 90.00
loop_
_atom_site_label
_atom_site_type_symbol
_atom_site_fract_x
_atom_site_fract_y
_atom_site_fract_z
Sc1 Sc 0.000 0.000 0.000
Be1 Be 0.000 0.000 0.500
Be2 Be 0.250 0.250 0.750
Ag1 Ag 0.250 0.250 0.250
# **Total DFT energy (no corrections)**: -64.96 eV per cell


2.
# ZnNi6Hg, relaxed, DFT PBE
data_ZnNi6Hg
_chemical_formula_sum 'Zn3 Ni18 Hg3'
_space_group_name_H-M_alt 'R -3'
_space_group_IT_number 148
_space_group_name_Hall '-R 3'
_cell_length_a 7.0030
_cell_length_b 7.0030
_cell_length_c 7.2012
_cell_angle_alpha 90.00
_cell_angle_beta 90.00
_cell_angle_gamma 120.00
loop_
_atom_site_label
_atom_site_type_symbol
_atom_site_fract_x
_atom_site_fract_y
_atom_site_fract_z
Zn1 Zn 0.0000 0.0000 0.0000
Ni1 Ni 0.0094 0.7116 0.7461
Hg1 Hg 0.0000 0.0000 0.5000
# **Formation energy**: 0.13 eV/atom


3.
# NdYBr2O2, relaxed, DFT PBE
data_NdYBr2O2
_chemical_formula_sum 'Nd1 Y1 Br2 O2'
_space_group_name_H-M_alt 'P 4 m m'
_space_group_IT_number 99
_space_group_name_Hall 'P 4 -2'
_cell_length_a 3.909
_cell_length_b 3.909
_cell_length_c 8.330
_cell_angle_alpha 90.00
_cell_angle_beta 90.00
_cell_angle_gamma 90.00
loop_
_atom_site_label
_atom_site_type_symbol
_atom_site_fract_x
_atom_site_fract_y
_atom_site_fract_z
Nd1 Nd 0.000 0.000 0.000
Y1 Y 0.500 0.500 0.717
Br1 Br 0.000 0.000 0.519
Br2 Br 0.500 0.500 0.196
O1 O 0.000 0.500 0.850
# **Total DFT energy (no corrections)**: -41.67 eV per cell


4.
# HfIn2Tc, relaxed, DFT PBE
data_HfIn2Tc
_chemical_formula_sum 'Hf4 In8 Tc4'
_space_group_name_H-M_alt 'F -4 3 m'
_space_group_IT_number 216
_space_group_name_Hall 'F -4 2 3'
_cell_length_a 6.756
_cell_length_b 6.756
_cell_length_c 6.756
_cell_angle_alpha 90.00
_cell_angle_beta 90.00
_cell_angle_gamma 90.00
loop_
_atom_site_label
_atom_site_type_symbol
_atom_site_fract_x
_atom_site_fract_y
_atom_site_fract_z
Hf1 Hf 0.000 0.000 0.000
In1 In 0.000 0.000 0.500
In2 In 0.250 0.250 0.250
Tc1 Tc 0.250 0.250 0.750
# **Total DFT energy (no corrections)**: -100.24 eV per cell


Result set for density: 4.9, 10.1, 5.5, 10.9 g/cm3, one per record in the order listed.